First-principles (PBE) data for a relaxed structure of MnPdAu, as listed in Alexandria.

As for the relative energy among the computed polymorphs: 0.000 eV/atom. The value obtained for the energy of formation from the pure elements is -0.16 eV/atom. The density of states at the Fermi level comes out at 1.43 states/eV/f.u. The value obtained for the magnetization is 1.40 μB per atom. As for the crystal system: triclinic.

The structure belongs to space group P1 (No. 1); the cell edges are 2.978, 3.841 and 4.737 Å and the angles 113.43°, 105.45° and 90.49°. Symmetry generates all atoms from Mn at (0.000, 0.000, 0.000), Pd at (0.328, 0.338, 0.677) and Au at (0.668, 0.667, 0.334).